No. 1
Below is a relaxed structure of Er4Te2AuSe, with properties calculated at the GGA-PBE level.

Computed properties:
As for the volume: 214.8 Å³ per cell.

Cell: 7.4209 4.1010 7.4324 Å, 90.00 108.26 90.00°
Fractional coordinates of all 8 atoms:
1 Er 0.2332 0.0000 0.2213
2 Er 0.2541 0.5000 0.7751
3 Er 0.7459 0.5000 0.2249
4 Er 0.7668 0.0000 0.7787
5 Te 0.0000 0.0000 0.5000
6 Te 0.5000 0.5000 0.5000
7 Au 0.0000 0.5000 0.0000
8 Se 0.5000 0.0000 0.0000

---

No. 2
Below is a relaxed structure of Er6TlAu2Se3, with properties calculated at the GGA-PBE level.

Computed properties:
As for the volume: 300.9 Å³ per cell.

Cell: 9.6388 9.6388 8.7002 Å, 111.52 111.52 23.67°
Fractional coordinates of all 12 atoms:
1 Er 0.0052 0.0052 0.2330
2 Er 0.3275 0.3275 0.4261
3 Er 0.3287 0.3287 0.9306
4 Er 0.6713 0.6713 0.0694
5 Er 0.6725 0.6725 0.5739
6 Er 0.9948 0.9948 0.7670
7 Tl 0.5000 0.5000 0.5000
8 Au 0.1573 0.1573 0.8099
9 Au 0.8427 0.8427 0.1901
10 Se 0.1668 0.1668 0.3218
11 Se 0.5000 0.5000 0.0000
12 Se 0.8332 0.8332 0.6782

---

No. 3
Below is a relaxed structure of Er2SiAu, with properties calculated at the GGA-PBE level.

Computed properties:
As for the volume: 88.0 Å³ per cell.

Cell: 3.5192 3.5192 7.1067 Å, 90.00 90.00 90.00°
Fractional coordinates of all 4 atoms:
1 Er 0.0000 0.0000 0.2429
2 Er 0.0000 0.0000 0.7571
3 Si 0.5000 0.5000 0.0000
4 Au 0.5000 0.5000 0.5000

---

No. 4
Below is a relaxed structure of Er2SiAu, with properties calculated at the GGA-PBE level.

Computed properties:
As for the volume: 91.1 Å³ per cell.

Cell: 4.2091 5.7371 5.7371 Å, 41.14 90.00 90.00°
Fractional coordinates of all 4 atoms:
1 Er 0.0000 0.0000 0.0000
2 Er 0.5000 0.2812 0.2812
3 Si 0.0000 0.7232 0.7232
4 Au 0.5000 0.5609 0.5609

---

No. 5
Below is a relaxed structure of Er3Si5Au6, with properties calculated at the GGA-PBE level.

Computed properties:
As for the volume: 521.2 Å³ per cell.

Cell: 4.2042 12.6705 9.7848 Å, 90.00 90.00 90.00°
Fractional coordinates of all 28 atoms:
1 Er 0.2500 0.0758 0.2442
2 Er 0.2500 0.4242 0.2442
3 Er 0.2500 0.7500 0.2535
4 Er 0.7500 0.2500 0.7465
5 Er 0.7500 0.5758 0.7558
6 Er 0.7500 0.9242 0.7558
7 Si 0.2500 0.0889 0.8589
8 Si 0.2500 0.4111 0.8589
9 Si 0.2500 0.6274 0.5377
10 Si 0.2500 0.7500 0.7905
11 Si 0.2500 0.8726 0.5377
12 Si 0.7500 0.1274 0.4623
13 Si 0.7500 0.2500 0.2095
14 Si 0.7500 0.3726 0.4623
15 Si 0.7500 0.5889 0.1411
16 Si 0.7500 0.9111 0.1411
17 Au 0.2500 0.0666 0.6125
18 Au 0.2500 0.2500 0.0214
19 Au 0.2500 0.2500 0.4543
20 Au 0.2500 0.4334 0.6125
21 Au 0.2500 0.5889 0.9947
22 Au 0.2500 0.9111 0.9947
23 Au 0.7500 0.0889 0.0053
24 Au 0.7500 0.4111 0.0053
25 Au 0.7500 0.5666 0.3875
26 Au 0.7500 0.7500 0.5457
27 Au 0.7500 0.7500 0.9786
28 Au 0.7500 0.9334 0.3875

---

No. 6
Below is a relaxed structure of ErSi2Au4, with properties calculated at the GGA-PBE level.

Computed properties:
As for the volume: 129.9 Å³ per cell.

Cell: 7.1442 7.1442 4.3808 Å, 90.00 90.00 144.47°
Fractional coordinates of all 7 atoms:
1 Er 0.0000 0.0000 0.0000
2 Si 0.4152 0.5848 0.5000
3 Si 0.5848 0.4152 0.5000
4 Au 0.1712 0.8288 0.5000
5 Au 0.3296 0.6704 0.0000
6 Au 0.6704 0.3296 0.0000
7 Au 0.8288 0.1712 0.5000

---

No. 7
Below is a relaxed structure of Er5Si2Au, with properties calculated at the GGA-PBE level.

Computed properties:
As for the volume: 383.9 Å³ per cell.

Cell: 8.7803 8.7803 8.7803 Å, 130.36 130.36 72.83°
Fractional coordinates of all 16 atoms:
1 Er 0.0000 0.0000 0.0000
2 Er 0.0296 0.5296 0.8443
3 Er 0.1853 0.0296 0.5000
4 Er 0.3147 0.8147 0.8443
5 Er 0.4704 0.3147 0.5000
6 Er 0.5000 0.5000 0.0000
7 Er 0.5296 0.6853 0.5000
8 Er 0.6853 0.1853 0.1557
9 Er 0.8147 0.9704 0.5000
10 Er 0.9704 0.4704 0.1557
11 Si 0.1225 0.3775 0.5000
12 Si 0.3775 0.8775 0.2551
13 Si 0.6225 0.1225 0.7449
14 Si 0.8775 0.6225 0.5000
15 Au 0.2500 0.2500 0.0000
16 Au 0.7500 0.7500 0.0000

---

No. 8
Below is a relaxed structure of Er2SiAu, with properties calculated at the GGA-PBE level.

Computed properties:
As for the volume: 182.6 Å³ per cell.

Cell: 5.7831 4.2309 7.9750 Å, 90.00 110.65 90.00°
Fractional coordinates of all 8 atoms:
1 Er 0.2144 0.2500 0.4276
2 Er 0.2186 0.2500 0.9298
3 Er 0.7814 0.7500 0.0702
4 Er 0.7856 0.7500 0.5724
5 Si 0.3361 0.7500 0.7096
6 Si 0.6639 0.2500 0.2904
7 Au 0.3373 0.7500 0.2098
8 Au 0.6627 0.2500 0.7902

---

No. 9
Below is a relaxed structure of Er3Si3Au, with properties calculated at the GGA-PBE level.

Computed properties:
As for the volume: 285.1 Å³ per cell.

Cell: 5.6536 5.6536 13.6004 Å, 108.64 108.64 44.33°
Fractional coordinates of all 14 atoms:
1 Er 0.0270 0.0270 0.3746
2 Er 0.1064 0.1064 0.9257
3 Er 0.2404 0.2404 0.2202
4 Er 0.7596 0.7596 0.7798
5 Er 0.8936 0.8936 0.0743
6 Er 0.9730 0.9730 0.6254
7 Si 0.3776 0.3776 0.4560
8 Si 0.3894 0.3894 0.9258
9 Si 0.4744 0.4744 0.7763
10 Si 0.5256 0.5256 0.2237
11 Si 0.6106 0.6106 0.0742
12 Si 0.6224 0.6224 0.5440
13 Au 0.2571 0.2571 0.6091
14 Au 0.7429 0.7429 0.3909

---

No. 10
Below is a relaxed structure of ErSi2Au6, with properties calculated at the GGA-PBE level.

Computed properties:
As for the volume: 166.3 Å³ per cell.

Cell: 4.3814 4.3814 8.6636 Å, 90.00 90.00 90.00°
Fractional coordinates of all 9 atoms:
1 Er 0.0000 0.0000 0.0000
2 Si 0.5000 0.5000 0.1329
3 Si 0.5000 0.5000 0.8671
4 Au 0.0000 0.0000 0.5000
5 Au 0.0000 0.5000 0.2667
6 Au 0.0000 0.5000 0.7333
7 Au 0.5000 0.0000 0.2667
8 Au 0.5000 0.0000 0.7333
9 Au 0.5000 0.5000 0.5000

---

No. 11
Below is a relaxed structure of Er2SiAu, with properties calculated at the GGA-PBE level.

Computed properties:
As for the volume: 99.7 Å³ per cell.

Cell: 6.7499 6.7499 6.7499 Å, 36.98 36.98 36.98°
Fractional coordinates of all 4 atoms:
1 Er 0.2441 0.2441 0.2441
2 Er 0.7559 0.7559 0.7559
3 Si 0.5000 0.5000 0.5000
4 Au 0.0000 0.0000 0.0000

---

No. 12
Below is a relaxed structure of ErSi2Au3, with properties calculated at the GGA-PBE level.

Computed properties:
As for the volume: 228.3 Å³ per cell.

Cell: 8.2245 8.2245 7.3508 Å, 114.96 114.96 30.70°
Fractional coordinates of all 12 atoms:
1 Er 0.1439 0.1439 0.0756
2 Er 0.8561 0.8561 0.9244
3 Si 0.1920 0.1920 0.7009
4 Si 0.4934 0.4934 0.8360
5 Si 0.5066 0.5066 0.1640
6 Si 0.8080 0.8080 0.2991
7 Au 0.0451 0.0451 0.3587
8 Au 0.3185 0.3185 0.5982
9 Au 0.3616 0.3616 0.2241
10 Au 0.6384 0.6384 0.7759
11 Au 0.6815 0.6815 0.4018
12 Au 0.9549 0.9549 0.6413

---

Values for energy relative to the elements, uncorrected, eV per formula unit, ordered as above
-10.18; -14.02; -2.78; -3.26; -7.31; -2.97; -5.52; -3.17; -5.65; -2.83; -2.50; -2.71
Values for total magnetic moment, μB per formula unit, ordered as above
0.00; 0.00; 0.00; 0.00; 0.00; 0.00; 0.00; 0.00; 0.00; 0.00; 0.00; 0.00